Material: OsC4
Method: DFT, PBE
State: relaxed

theoretical density = 6.29 g/cm³
DFT total energy = -6.48 eV/atom
polymorph energy (0 for the lowest one) = 2.3798 eV/atom

a b c (Å): 3.9760 3.9760 3.9760
angles (deg): 90.00 90.00 90.00
Fractional coordinates of all 5 atoms:
Os  0.0000  0.0000  0.0000
C  0.0000  0.0000  0.5000
C  0.0000  0.5000  0.0000
C  0.5000  0.0000  0.0000
C  0.5000  0.5000  0.5000